No. 1
## BaLi2MnV2O8 (PBEsol)

Data for a relaxed structure of BaLi2MnV2O8.

Cell and atoms, written as POSCAR:
```
BaLi2MnV2O8
1.0
5.2309 0.0000 0.0000
-2.6155 4.5301 0.0000
0.0000 0.0000 7.1596
Ba Li Mn V O
1 2 1 2 8
Direct
0.0000 0.0000 0.0000
0.3333 0.6667 0.2673
0.6667 0.3333 0.7327
0.0000 0.0000 0.5000
0.3333 0.6667 0.7504
0.6667 0.3333 0.2496
0.0360 0.3339 0.6792
0.2979 0.9640 0.6792
0.3333 0.6667 0.9876
0.3339 0.2979 0.3208
0.6661 0.7021 0.6792
0.6667 0.3333 0.0124
0.7021 0.0360 0.3208
0.9640 0.6661 0.3208
```

* E_form (uncorrected): -2.41 eV/atom
* raw total energy: -110.784 eV/cell
* space-group type: P-3, No. 147


No. 2
## LaZnW2 (PBEsol)

Data for a relaxed structure of LaZnW2.

Cell and atoms, written as POSCAR:
```
LaZnW2
1.0
2.7514 0.0000 0.0000
0.0000 2.7514 0.0000
0.0000 0.0000 9.4819
La Zn W
1 1 2
Direct
0.0000 0.0000 0.0000
0.0000 0.0000 0.5000
0.5000 0.5000 0.2900
0.5000 0.5000 0.7100
```

* calculated formation energy: 643.8 meV/atom
* raw total energy: -31.968 eV/cell
* space-group type: P4/mmm, No. 123


No. 3
## Y2TlTc (PBEsol)

Data for a relaxed structure of Y2TlTc.

Cell and atoms, written as POSCAR:
```
Y2TlTc
1.0
4.5851 0.0000 0.0000
0.0000 1.8791 5.4625
0.0000 -1.8791 5.4625
Y Tl Tc
2 1 1
Direct
0.0000 0.0000 0.0000
0.5000 0.2964 0.2964
0.5000 0.5775 0.5775
0.0000 0.7268 0.7268
```

* calculated formation energy: -6.9 meV/atom
* raw total energy: -27.568 eV/cell
* space-group type: Amm2, No. 38


Copy entry 3 word for word.
## Y2TlTc (PBEsol)

Data for a relaxed structure of Y2TlTc.

Cell and atoms, written as POSCAR:
```
Y2TlTc
1.0
4.5851 0.0000 0.0000
0.0000 1.8791 5.4625
0.0000 -1.8791 5.4625
Y Tl Tc
2 1 1
Direct
0.0000 0.0000 0.0000
0.5000 0.2964 0.2964
0.5000 0.5775 0.5775
0.0000 0.7268 0.7268
```

* calculated formation energy: -6.9 meV/atom
* raw total energy: -27.568 eV/cell
* space-group type: Amm2, No. 38


- What is the raw total energy in the second record?
  -31.968 eV/cell


- What is the raw total energy in the first record?
  -110.784 eV/cell